Compound: Cs3FeO3
Source: Alexandria via LeMat-Bulk
Functional: PBE+U
Structure: relaxed

Output
M_tot: 0.71 μB/atom
Distance to the lowest polymorph of the same formula: 0.0 meV per atom
Density of states at the Fermi level: 0.000 states/eV/f.u.

Lattice parameters (Å, degrees): 7.451 12.330 7.934 90.00 105.48 90.00
Fractional coordinates of all 28 atoms:
Cs: 0.035 0.248 0.379
Cs: 0.035 0.252 0.879
Cs: 0.334 0.007 0.132
Cs: 0.334 0.493 0.632
Cs: 0.442 0.709 0.001
Cs: 0.442 0.791 0.501
Cs: 0.558 0.209 0.499
Cs: 0.558 0.291 0.999
Cs: 0.666 0.507 0.368
Cs: 0.666 0.993 0.868
Cs: 0.965 0.748 0.121
Cs: 0.965 0.752 0.621
Fe: 0.162 0.011 0.642
Fe: 0.162 0.489 0.142
Fe: 0.838 0.511 0.858
Fe: 0.838 0.989 0.358
O: 0.110 0.532 0.891
O: 0.110 0.968 0.391
O: 0.267 0.605 0.292
O: 0.267 0.895 0.792
O: 0.302 0.139 0.710
O: 0.302 0.361 0.210
O: 0.698 0.639 0.790
O: 0.698 0.861 0.290
O: 0.733 0.105 0.208
O: 0.733 0.395 0.708
O: 0.890 0.032 0.609
O: 0.890 0.468 0.109

---

Compound: CsFeO2
Source: Alexandria via LeMat-Bulk
Functional: PBE+U
Structure: relaxed

Output
M_tot: 1.25 μB/atom
Density of states at the Fermi level: 0.000 states/eV/f.u.
Total DFT energy (no corrections): -5.5295 eV/atom

Lattice parameters (Å, degrees): 6.476 6.476 5.376 94.13 94.13 119.07
Fractional coordinates of all 8 atoms:
Cs: 0.167 0.833 0.750
Cs: 0.833 0.167 0.250
Fe: 0.497 0.503 0.250
Fe: 0.503 0.497 0.750
O: 0.263 0.435 0.968
O: 0.435 0.263 0.468
O: 0.565 0.737 0.532
O: 0.737 0.565 0.032

---

Compound: Cs4FeO4
Source: Alexandria via LeMat-Bulk
Functional: PBE+U
Structure: relaxed

Output
M_tot: 0.44 μB/atom
Distance to the lowest polymorph of the same formula: 44.6 meV per atom

Lattice parameters (Å, degrees): 8.584 8.584 6.076 90.00 90.00 90.00
Fractional coordinates of all 18 atoms:
Cs: 0.032 0.250 0.112
Cs: 0.250 0.032 0.612
Cs: 0.250 0.468 0.612
Cs: 0.468 0.250 0.112
Cs: 0.532 0.750 0.888
Cs: 0.750 0.532 0.388
Cs: 0.750 0.968 0.388
Cs: 0.968 0.750 0.888
Fe: 0.250 0.750 0.250
Fe: 0.750 0.250 0.750
O: 0.064 0.750 0.404
O: 0.250 0.564 0.096
O: 0.250 0.936 0.096
O: 0.436 0.750 0.404
O: 0.564 0.250 0.596
O: 0.750 0.064 0.904
O: 0.750 0.436 0.904
O: 0.936 0.250 0.596

---

Compound: Cs3FeO2
Source: Alexandria via LeMat-Bulk
Functional: PBE+U
Structure: relaxed

Output
M_tot: 0.70 μB/atom
Density of states at the Fermi level: 1.855 states/eV/f.u.
Total DFT energy (no corrections): -3.8128 eV/atom

Lattice parameters (Å, degrees): 7.358 7.358 7.056 90.00 90.00 69.60
Fractional coordinates of all 12 atoms:
Cs: 0.201 0.799 0.750
Cs: 0.239 0.239 0.000
Cs: 0.239 0.239 0.500
Cs: 0.761 0.761 0.000
Cs: 0.761 0.761 0.500
Cs: 0.799 0.201 0.250
Fe: 0.377 0.623 0.250
Fe: 0.623 0.377 0.750
O: 0.153 0.847 0.250
O: 0.500 0.500 0.000
O: 0.500 0.500 0.500
O: 0.847 0.153 0.750

---

Compound: CsFeO2
Source: Alexandria via LeMat-Bulk
Functional: PBE+U
Structure: relaxed

Output
M_tot: 1.25 μB/atom
Density of states at the Fermi level: 0.000 states/eV/f.u.
Total DFT energy (no corrections): -5.4965 eV/atom

Lattice parameters (Å, degrees): 7.815 7.815 6.625 114.97 114.97 25.19
Fractional coordinates of all 8 atoms:
Cs: 0.135 0.135 0.135
Cs: 0.865 0.865 0.865
Fe: 0.402 0.402 0.402
Fe: 0.598 0.598 0.598
O: 0.168 0.168 0.667
O: 0.500 0.500 0.292
O: 0.500 0.500 0.708
O: 0.832 0.832 0.333

---

Compound: CsFeO2
Source: Alexandria via LeMat-Bulk
Functional: PBE+U
Structure: relaxed

Output
M_tot: 1.00 μB/atom
Density of states at the Fermi level: 0.000 states/eV/f.u.
Total DFT energy (no corrections): -5.3339 eV/atom

Lattice parameters (Å, degrees): 3.690 4.608 8.969 93.39 90.19 90.00
Fractional coordinates of all 8 atoms:
Cs: 0.000 0.000 0.000
Cs: 0.497 0.533 0.304
Fe: 0.499 0.505 0.735
Fe: 0.998 0.002 0.563
O: 0.499 0.119 0.624
O: 0.501 0.485 0.934
O: 0.997 0.075 0.370
O: 0.999 0.657 0.684

---

Compound: CsFe3O
Source: Alexandria via LeMat-Bulk
Functional: PBE+U
Structure: relaxed

Output
M_tot: 2.15 μB/atom
Distance to the lowest polymorph of the same formula: 0.0 meV per atom
Density of states at the Fermi level: 2.028 states/eV/f.u.

Lattice parameters (Å, degrees): 4.782 4.782 4.782 90.00 90.00 90.00
Fractional coordinates of all 5 atoms:
Cs: 0.000 0.000 0.000
Fe: 0.000 0.500 0.500
Fe: 0.500 0.000 0.500
Fe: 0.500 0.500 0.000
O: 0.500 0.500 0.500

---

Compound: Cs5Fe2O6
Source: Alexandria via LeMat-Bulk
Functional: PBE+U
Structure: relaxed

Output
M_tot: 0.69 μB/atom
Density of states at the Fermi level: 4.497 states/eV/f.u.
Total DFT energy (no corrections): -4.8370 eV/atom

Lattice parameters (Å, degrees): 6.878 6.878 15.375 98.36 98.36 67.64
Fractional coordinates of all 26 atoms:
Cs: 0.101 0.899 0.750
Cs: 0.175 0.710 0.005
Cs: 0.285 0.408 0.290
Cs: 0.290 0.825 0.495
Cs: 0.408 0.285 0.790
Cs: 0.592 0.715 0.210
Cs: 0.710 0.175 0.505
Cs: 0.715 0.592 0.710
Cs: 0.825 0.290 0.995
Cs: 0.899 0.101 0.250
Fe: 0.134 0.413 0.572
Fe: 0.413 0.134 0.072
Fe: 0.587 0.866 0.928
Fe: 0.866 0.587 0.428
O: 0.096 0.230 0.639
O: 0.111 0.325 0.447
O: 0.230 0.096 0.139
O: 0.325 0.111 0.947
O: 0.362 0.479 0.622
O: 0.479 0.362 0.122
O: 0.521 0.638 0.878
O: 0.638 0.521 0.378
O: 0.675 0.889 0.053
O: 0.770 0.904 0.861
O: 0.889 0.675 0.553
O: 0.904 0.770 0.361

---

Compound: CsFeO2
Source: Alexandria via LeMat-Bulk
Functional: PBE+U
Structure: relaxed

Output
M_tot: 1.26 μB/atom
Density of states at the Fermi level: 0.000 states/eV/f.u.
Total DFT energy (no corrections): -5.2819 eV/atom

Lattice parameters (Å, degrees): 6.893 6.893 6.893 27.59 27.59 27.59
Fractional coordinates of all 4 atoms:
Cs: 0.000 0.000 0.000
Fe: 0.500 0.500 0.500
O: 0.218 0.218 0.218
O: 0.782 0.782 0.782

---

Compound: CsFeO2
Source: Alexandria via LeMat-Bulk
Functional: PBE+U
Structure: relaxed

Output
M_tot: 1.00 μB/atom
Density of states at the Fermi level: 0.000 states/eV/f.u.
Total DFT energy (no corrections): -5.2053 eV/atom

Lattice parameters (Å, degrees): 7.644 4.193 13.166 90.00 118.97 90.00
Fractional coordinates of all 16 atoms:
Cs: 0.177 0.025 0.180
Cs: 0.177 0.475 0.680
Cs: 0.823 0.525 0.320
Cs: 0.823 0.975 0.820
Fe: 0.381 0.244 0.980
Fe: 0.381 0.256 0.480
Fe: 0.619 0.744 0.520
Fe: 0.619 0.756 0.020
O: 0.155 0.049 0.415
O: 0.155 0.451 0.915
O: 0.465 0.007 0.888
O: 0.465 0.493 0.388
O: 0.535 0.507 0.612
O: 0.535 0.993 0.112
O: 0.845 0.549 0.085
O: 0.845 0.951 0.585

---

Compound: CsFe3O
Source: Alexandria via LeMat-Bulk
Functional: PBE+U
Structure: relaxed

Output
M_tot: 2.09 μB/atom
Distance to the lowest polymorph of the same formula: 1779.1 meV per atom
Density of states at the Fermi level: 4.403 states/eV/f.u.

Lattice parameters (Å, degrees): 5.441 5.441 5.441 90.00 90.00 90.00
Fractional coordinates of all 5 atoms:
Cs: 0.000 0.000 0.000
Fe: 0.000 0.000 0.500
Fe: 0.000 0.500 0.000
Fe: 0.500 0.000 0.000
O: 0.500 0.500 0.500

---

Compound: CsFeO2
Source: Alexandria via LeMat-Bulk
Functional: PBE+U
Structure: relaxed

Output
M_tot: 1.25 μB/atom
Density of states at the Fermi level: 0.000 states/eV/f.u.
Total DFT energy (no corrections): -5.2682 eV/atom

Lattice parameters (Å, degrees): 5.956 5.956 5.956 104.77 104.77 119.34
Fractional coordinates of all 8 atoms:
Cs: 0.250 0.250 0.000
Cs: 0.750 0.750 0.000
Fe: 0.250 0.750 0.500
Fe: 0.750 0.250 0.500
O: 0.126 0.626 0.751
O: 0.374 0.126 0.500
O: 0.626 0.874 0.500
O: 0.874 0.374 0.249

---

> M_tot of number 1 (Cs3FeO3)?

0.71 μB/atom